Density functional theory data (PBE) for a geometry-optimized RbUNiS4 structure.

Calculated values
**DFT total energy**: -5.976 eV/atom
**Total magnetization**: 0.000 μB per atom

abc: 6.329 5.818 9.140
angles: 90.00 107.04 90.00
Space group P2_1/m (No. 11)
One atom of each set of equivalent atoms:
1 Rb 0.248 0.250 0.048 [2 per cell]
2 U 0.258 0.250 0.554 [2 per cell]
3 Ni 0.227 0.750 0.356 [2 per cell]
4 S 0.023 0.516 0.693 [4 per cell]
5 S 0.436 0.750 0.194 [2 per cell]
6 S 0.441 0.750 0.588 [2 per cell]



Density functional theory data (PBE) for a geometry-optimized Nd6Rh2SCl3 structure.

Calculated values
**DFT total energy**: -5.735 eV/atom
**Total magnetization**: 0.000 μB per atom

abc: 7.200 12.450 7.652
angles: 90.00 108.14 90.00
Space group C2/m (No. 12)
One atom of each set of equivalent atoms:
1 Nd 0.221 0.000 0.208 [4 per cell]
2 Nd 0.245 0.327 0.211 [8 per cell]
3 Rh 0.000 0.168 0.000 [4 per cell]
4 S 0.000 0.500 0.000 [2 per cell]
5 Cl 0.000 0.000 0.500 [2 per cell]
6 Cl 0.000 0.342 0.500 [4 per cell]